No. 1
First-principles (PBE+U) data for an optimized crystal structure of CaWN2O, as listed in Alexandria via LeMat-Bulk.

## Properties
DOS(E_F) = 0.21 states/eV/atom
total DFT energy (no corrections) = -36.4 eV per cell

Unit cell a=4.003 b=4.003 c=3.967 alpha=90.00 beta=90.00 gamma=90.00
Atoms (fractional coordinates):
Ca  0.500  0.500  0.500
O  0.000  0.000  0.500
W  0.000  0.000  0.000
N  0.000  0.500  0.000
N  0.500  0.000  0.000

---

No. 2
First-principles (PBE+U) data for an optimized crystal structure of CaWN2O, as listed in Alexandria via LeMat-Bulk.

## Properties
DOS(E_F) = 0.37 states/eV/atom
total DFT energy (no corrections) = -24.3 eV per cell

Unit cell a=4.357 b=4.357 c=4.209 alpha=90.00 beta=90.00 gamma=90.00
Atoms (fractional coordinates):
Ca  0.000  0.000  0.000
O  0.000  0.000  0.500
W  0.500  0.500  0.500
N  0.000  0.500  0.000
N  0.500  0.000  0.000